(1)
Below is Re2BiOs after structural relaxation, with properties calculated at the PBE-GGA level.

```
data_Re2BiOs
_symmetry_space_group_name_H-M 'P 1'
_symmetry_Int_Tables_number 1
_symmetry_space_group_name_Hall 'P 1'
_cell_length_a 5.9150
_cell_length_b 5.9150
_cell_length_c 7.1854
_cell_angle_alpha 65.69
_cell_angle_beta 65.69
_cell_angle_gamma 90.00
loop_
_atom_site_label
_atom_site_type_symbol
_atom_site_fract_x
_atom_site_fract_y
_atom_site_fract_z
Re1 Re 0.5797 0.1250 0.2500
Re2 Re 0.1703 0.6250 0.2500
Re3 Re 0.3750 0.4203 0.7500
Re4 Re 0.8750 0.8297 0.7500
Os1 Os 0.5000 0.5000 0.0000
Os2 Os 0.2500 0.7500 0.5000
Bi1 Bi 0.0000 0.0000 0.0000
Bi2 Bi 0.7500 0.2500 0.5000
```

Formation energy, eV per atom: 1.500
SG: I-42d (122)

***

(2)
Below is Re3BiOs after structural relaxation, with properties calculated at the PBE-GGA level.

```
data_Re3BiOs
_symmetry_space_group_name_H-M 'P 1'
_symmetry_Int_Tables_number 1
_symmetry_space_group_name_Hall 'P 1'
_cell_length_a 4.7785
_cell_length_b 4.7785
_cell_length_c 4.7785
_cell_angle_alpha 90.00
_cell_angle_beta 90.00
_cell_angle_gamma 90.00
loop_
_atom_site_label
_atom_site_type_symbol
_atom_site_fract_x
_atom_site_fract_y
_atom_site_fract_z
Re1 Re 0.0000 0.5000 0.0000
Re2 Re 0.0000 0.0000 0.5000
Re3 Re 0.5000 0.0000 0.0000
Os1 Os 0.0000 0.0000 0.0000
Bi1 Bi 0.5000 0.5000 0.5000
```

Formation energy, eV per atom: 1.991
SG: Pm-3m (221)

***

(3)
Below is ReBi2Os after structural relaxation, with properties calculated at the PBE-GGA level.

```
data_ReBi2Os
_symmetry_space_group_name_H-M 'P 1'
_symmetry_Int_Tables_number 1
_symmetry_space_group_name_Hall 'P 1'
_cell_length_a 4.8088
_cell_length_b 4.8088
_cell_length_c 4.8088
_cell_angle_alpha 60.00
_cell_angle_beta 60.00
_cell_angle_gamma 60.00
loop_
_atom_site_label
_atom_site_type_symbol
_atom_site_fract_x
_atom_site_fract_y
_atom_site_fract_z
Re1 Re 0.0000 0.0000 0.0000
Os1 Os 0.5000 0.5000 0.5000
Bi1 Bi 0.2500 0.2500 0.2500
Bi2 Bi 0.7500 0.7500 0.7500
```

Formation energy, eV per atom: 1.109
SG: Fm-3m (225)

***

(4)
Below is ReBi2Os after structural relaxation, with properties calculated at the PBE-GGA level.

```
data_ReBi2Os
_symmetry_space_group_name_H-M 'P 1'
_symmetry_Int_Tables_number 1
_symmetry_space_group_name_Hall 'P 1'
_cell_length_a 6.2459
_cell_length_b 6.2459
_cell_length_c 7.5041
_cell_angle_alpha 65.41
_cell_angle_beta 65.41
_cell_angle_gamma 90.00
loop_
_atom_site_label
_atom_site_type_symbol
_atom_site_fract_x
_atom_site_fract_y
_atom_site_fract_z
Re1 Re 0.5000 0.5000 0.0000
Re2 Re 0.2500 0.7500 0.5000
Os1 Os 0.0000 0.0000 0.0000
Os2 Os 0.7500 0.2500 0.5000
Bi1 Bi 0.6326 0.1250 0.2500
Bi2 Bi 0.1174 0.6250 0.2500
Bi3 Bi 0.3750 0.3674 0.7500
Bi4 Bi 0.8750 0.8826 0.7500
```

Formation energy, eV per atom: 1.724
SG: I-42d (122)

***

(5)
Below is ReBiOs2Rh after structural relaxation, with properties calculated at the PBE-GGA level.

```
data_ReBiOs2Rh
_symmetry_space_group_name_H-M 'P 1'
_symmetry_Int_Tables_number 1
_symmetry_space_group_name_Hall 'P 1'
_cell_length_a 4.6758
_cell_length_b 4.9939
_cell_length_c 4.6758
_cell_angle_alpha 90.00
_cell_angle_beta 90.00
_cell_angle_gamma 90.00
loop_
_atom_site_label
_atom_site_type_symbol
_atom_site_fract_x
_atom_site_fract_y
_atom_site_fract_z
Re1 Re 0.5000 0.5000 0.5000
Os1 Os 0.0000 0.0000 0.5000
Os2 Os 0.5000 0.0000 0.0000
Bi1 Bi 0.0000 0.5000 0.0000
Rh1 Rh 0.0000 0.0000 0.0000
```

Formation energy, eV per atom: 2.495
SG: P4/mmm (123)

***

(6)
Below is ReBi2OsSe after structural relaxation, with properties calculated at the PBE-GGA level.

```
data_ReBi2OsSe
_symmetry_space_group_name_H-M 'P 1'
_symmetry_Int_Tables_number 1
_symmetry_space_group_name_Hall 'P 1'
_cell_length_a 5.3862
_cell_length_b 4.7932
_cell_length_c 5.3862
_cell_angle_alpha 90.00
_cell_angle_beta 90.00
_cell_angle_gamma 90.00
loop_
_atom_site_label
_atom_site_type_symbol
_atom_site_fract_x
_atom_site_fract_y
_atom_site_fract_z
Re1 Re 0.0000 0.5000 0.0000
Os1 Os 0.0000 0.0000 0.0000
Bi1 Bi 0.0000 0.0000 0.5000
Bi2 Bi 0.5000 0.0000 0.0000
Se1 Se 0.5000 0.5000 0.5000
```

Raw formation energy, meV per atom: 1329
SG: P4/mmm (123)